Record 1
PBE-GGA AlAuCl2, relaxed; spin magnetization = 0.00 μB/cell; energy above the lowest structure with this stoichiometry = 0.352 eV per atom; final energy = -3.18 eV per atom
1.0
1.708 -3.408 0.000
1.708 3.408 0.000
0.000 0.000 8.685
Al Au Cl
1 1 2
Cartesian
0.000 0.000 0.000
1.708 0.000 6.951
0.000 0.000 5.070
1.708 0.000 1.720


Record 2
PBE-GGA AlCuAuCl2, relaxed; spin magnetization = 0.00 μB/cell; final energy = -2.63 eV per atom
1.0
5.127 0.000 0.000
0.000 5.127 0.000
0.000 0.000 4.954
Al Cu Au Cl
1 1 1 2
Cartesian
0.000 0.000 0.000
2.564 2.564 0.000
2.564 2.564 2.477
0.000 2.564 2.477
2.564 0.000 2.477


Record 3
PBE-GGA AlAuClF2, relaxed; spin magnetization = 0.00 μB/cell; final energy = -4.02 eV per atom
1.0
3.815 0.000 0.000
0.000 3.815 0.000
0.000 0.000 5.318
Al Au Cl F
1 1 1 2
Cartesian
0.000 0.000 0.000
1.908 1.908 2.659
0.000 0.000 2.659
0.000 1.908 0.000
1.908 0.000 0.000


Record 4
PBE-GGA AlGeAuCl2, relaxed; spin magnetization = 0.00 μB/cell; final energy = -2.68 eV per atom
1.0
5.023 0.000 0.000
0.000 5.023 0.000
0.000 0.000 5.232
Al Ge Au Cl
1 1 1 2
Cartesian
0.000 0.000 0.000
2.511 2.511 0.000
0.000 0.000 2.616
0.000 2.511 2.616
2.511 0.000 2.616


Record 5
PBE-GGA K2AlAuCl6, relaxed; spin magnetization = 0.00 μB/cell; energy above the lowest structure with this stoichiometry = 0.000 eV per atom; final energy = -3.53 eV per atom
1.0
6.141 0.000 0.000
2.952 6.500 0.000
0.062 1.988 8.410
K Al Au Cl
2 1 1 6
Cartesian
0.000 0.000 0.000
3.054 2.050 3.391
3.689 5.247 5.928
6.015 4.251 1.722
2.464 5.191 4.153
2.472 5.284 7.709
4.891 7.048 5.975
5.984 6.434 1.020
4.925 3.471 5.876
6.091 2.066 2.418


Record 6
PBE-GGA K2AlAuCl6, relaxed; spin magnetization = 0.00 μB/cell; energy above the lowest structure with this stoichiometry = 0.162 eV per atom; final energy = -3.36 eV per atom
1.0
0.000 5.079 5.079
5.079 0.000 5.079
5.079 5.079 0.000
K Al Au Cl
2 1 1 6
Cartesian
2.540 2.540 2.540
7.619 7.619 7.619
0.000 0.000 0.000
5.079 5.079 5.079
5.079 5.079 2.354
5.079 2.354 5.079
7.804 5.079 5.079
2.354 5.079 5.079
5.079 7.804 5.079
5.079 5.079 7.804


Record 7
PBE-GGA MnAlAuCl2, relaxed; spin magnetization = 5.28 μB/cell; final energy = -3.54 eV per atom
1.0
5.286 0.000 0.000
0.000 5.286 0.000
0.000 0.000 4.976
Mn Al Au Cl
1 1 1 2
Cartesian
0.000 0.000 0.000
2.643 2.643 0.000
2.643 2.643 2.488
0.000 2.643 2.488
2.643 0.000 2.488


Record 8
PBE-GGA AlPAuCl2, relaxed; spin magnetization = 0.00 μB/cell; energy above the lowest structure with this stoichiometry = 0.000 eV per atom; final energy = -3.26 eV per atom
1.0
4.447 0.000 0.000
0.000 4.447 0.000
0.000 0.000 5.315
Al P Au Cl
1 1 1 2
Cartesian
0.000 0.000 0.000
0.000 0.000 2.658
2.223 2.223 2.658
0.000 2.223 0.000
2.223 0.000 0.000


Record 9
PBE-GGA AlPAuCl2, relaxed; spin magnetization = 1.78 μB/cell; energy above the lowest structure with this stoichiometry = 0.405 eV per atom; final energy = -2.86 eV per atom
1.0
5.306 0.000 0.000
0.000 5.306 0.000
0.000 0.000 4.749
Al P Au Cl
1 1 1 2
Cartesian
0.000 0.000 0.000
2.653 2.653 0.000
2.653 2.653 2.374
0.000 2.653 2.374
2.653 0.000 2.374


Record 10
PBE-GGA AlPAu2Cl, relaxed; spin magnetization = 0.00 μB/cell; final energy = -2.99 eV per atom
1.0
4.995 0.000 0.000
0.000 4.995 0.000
0.000 0.000 4.621
Al P Au Cl
1 1 2 1
Cartesian
0.000 0.000 0.000
0.000 0.000 2.310
0.000 2.497 0.000
2.497 0.000 0.000
2.497 2.497 2.310


Record 11
PBE-GGA AlPt2AuCl, relaxed; spin magnetization = 0.00 μB/cell; final energy = -3.37 eV per atom
1.0
4.590 0.000 0.000
0.000 4.590 0.000
0.000 0.000 4.610
Al Pt Au Cl
1 2 1 1
Cartesian
0.000 0.000 0.000
0.000 2.295 2.305
2.295 0.000 2.305
2.295 2.295 0.000
0.000 0.000 2.305


Record 12
PBE-GGA RbAl2AuCl8, relaxed; spin magnetization = 0.00 μB/cell; final energy = -3.57 eV per atom
1.0
3.254 1.879 9.567
-3.254 1.879 9.567
0.000 -3.757 9.567
Rb Al Au Cl
1 2 1 8
Cartesian
0.000 0.000 0.000
0.000 0.000 7.108
0.000 0.000 21.592
0.000 0.000 14.350
-2.266 -0.066 12.680
-1.076 -1.996 16.020
0.000 0.000 9.268
1.191 -1.930 12.680
-1.191 1.930 16.020
0.000 0.000 19.432
1.076 1.996 12.680
2.266 0.066 16.020


Record 13
PBE-GGA Rb2AlAuCl6, relaxed; spin magnetization = 0.00 μB/cell; final energy = -3.39 eV per atom
1.0
-3.865 3.865 4.919
3.865 -3.865 4.919
3.865 3.865 -4.919
Rb Al Au Cl
2 1 1 6
Cartesian
3.865 0.000 2.459
0.000 3.865 2.459
0.000 0.000 0.000
0.000 0.000 4.919
1.610 1.610 0.000
2.255 -2.255 4.919
0.000 0.000 2.583
0.000 0.000 7.254
-2.255 2.255 4.919
2.255 2.255 4.919


Record 14
PBE-GGA AlAuS2Cl, relaxed; spin magnetization = 0.00 μB/cell; energy above the lowest structure with this stoichiometry = 0.000 eV per atom; final energy = -3.39 eV per atom
1.0
4.712 0.000 0.000
0.000 4.712 0.000
0.000 0.000 4.528
Al Au S Cl
1 1 2 1
Cartesian
0.000 0.000 0.000
2.356 2.356 2.264
0.000 2.356 0.000
2.356 0.000 0.000
0.000 0.000 2.264


Record 15
PBE-GGA AlAuS2Cl, relaxed; spin magnetization = 0.00 μB/cell; energy above the lowest structure with this stoichiometry = 0.420 eV per atom; final energy = -2.97 eV per atom
1.0
4.875 0.000 0.000
0.000 4.875 0.000
0.000 0.000 4.981
Al Au S Cl
1 1 2 1
Cartesian
0.000 0.000 0.000
2.438 2.438 2.491
0.000 2.438 2.491
2.438 0.000 2.491
2.438 2.438 0.000


Record 16
PBE-GGA SrAlAu2Cl, relaxed; spin magnetization = 0.00 μB/cell; final energy = -2.86 eV per atom
1.0
5.951 0.000 0.000
0.000 5.951 0.000
0.000 0.000 5.463
Sr Al Au Cl
1 1 2 1
Cartesian
0.000 0.000 0.000
2.975 2.975 2.732
0.000 2.975 0.000
2.975 0.000 0.000
0.000 0.000 2.732


Record 17
PBE-GGA Al2TcAuCl, relaxed; spin magnetization = 0.00 μB/cell; final energy = -4.08 eV per atom
1.0
4.966 0.000 0.000
0.000 4.966 0.000
0.000 0.000 4.879
Al Tc Au Cl
2 1 1 1
Cartesian
0.000 2.483 0.000
2.483 0.000 0.000
0.000 0.000 0.000
0.000 0.000 2.440
2.483 2.483 2.440


Record 18
PBE-GGA Al2TlAuCl, relaxed; spin magnetization = 0.00 μB/cell; final energy = -2.40 eV per atom
1.0
5.384 0.000 0.000
0.000 5.384 0.000
0.000 0.000 5.346
Al Tl Au Cl
2 1 1 1
Cartesian
0.000 2.692 0.000
2.692 0.000 0.000
0.000 0.000 0.000
2.692 2.692 2.673
0.000 0.000 2.673


Record 19
PBE-GGA Al2TlAuCl8, relaxed; spin magnetization = 0.00 μB/cell; final energy = -3.48 eV per atom
1.0
7.156 0.000 0.000
-3.578 6.197 0.000
0.000 0.000 9.046
Al Tl Au Cl
2 1 1 8
Cartesian
0.000 4.132 1.964
3.578 2.066 7.082
0.000 0.000 0.000
0.000 0.000 4.523
0.000 2.076 2.672
-1.780 5.159 2.672
0.000 4.132 8.873
1.798 1.038 6.374
1.780 5.159 2.672
3.578 2.066 0.173
5.358 1.038 6.374
3.578 4.121 6.374


Record 20
PBE-GGA AlW2AuCl, relaxed; spin magnetization = 1.00 μB/cell; final energy = -5.28 eV per atom
1.0
4.416 0.000 0.000
0.000 4.416 0.000
0.000 0.000 4.879
Al W Au Cl
1 2 1 1
Cartesian
0.000 0.000 0.000
0.000 2.208 2.439
2.208 0.000 2.439
2.208 2.208 0.000
2.208 2.208 2.439


Record 21
PBE-GGA Al2CoAu, relaxed; spin magnetization = 0.01 μB/cell; final energy = -4.54 eV per atom
1.0
0.000 3.070 3.070
3.070 0.000 3.070
3.070 3.070 0.000
Al Co Au
2 1 1
Cartesian
0.000 0.000 0.000
1.535 1.535 1.535
3.070 3.070 3.070
4.605 4.605 4.605


Record 22
PBE-GGA Al2CoAu, relaxed; spin magnetization = 0.69 μB/cell; final energy = -4.70 eV per atom
1.0
1.431 0.826 8.270
-1.431 0.826 8.270
0.000 -1.653 8.270
Al Co Au
2 1 1
Cartesian
0.000 0.000 5.949
0.000 0.000 18.860
0.000 0.000 12.405
0.000 0.000 0.000


Record 23
PBE-GGA Al2CoAu, relaxed; spin magnetization = 1.15 μB/cell; final energy = -4.52 eV per atom
1.0
1.446 0.835 8.388
-1.446 0.835 8.388
0.000 -1.670 8.388
Al Co Au
2 1 1
Cartesian
0.000 0.000 0.000
0.000 0.000 6.108
0.000 0.000 12.707
0.000 0.000 18.920


Record 24
PBE-GGA AlCoAu, relaxed; spin magnetization = 0.89 μB/cell; final energy = -4.79 eV per atom
1.0
4.185 0.000 0.000
-2.093 3.624 0.000
0.000 0.000 2.851
Al Co Au
1 1 1
Cartesian
0.000 0.000 0.000
2.093 1.208 2.295
0.000 2.416 0.983


Record 25
PBE-GGA AlCo2Au, relaxed; spin magnetization = 2.05 μB/cell; final energy = -5.43 eV per atom
1.0
3.755 0.000 0.000
0.000 3.755 0.000
0.000 0.000 3.737
Al Co Au
1 2 1
Cartesian
0.000 0.000 0.000
0.000 1.878 1.868
1.878 0.000 1.868
1.878 1.878 0.000


Record 26
PBE-GGA Al2CoAu2, relaxed; spin magnetization = 2.34 μB/cell; energy above the lowest structure with this stoichiometry = 0.031 eV per atom; final energy = -4.27 eV per atom
1.0
7.242 0.000 0.000
0.000 7.242 0.000
0.000 0.000 3.076
Al Co Au
4 2 4
Cartesian
1.188 2.433 0.000
2.433 6.055 0.000
4.809 1.188 0.000
6.055 4.809 0.000
0.000 0.000 1.538
3.621 3.621 1.538
1.013 4.634 1.538
2.609 1.013 1.538
4.634 6.230 1.538
6.230 2.609 1.538


Record 27
PBE-GGA Al2CoAu, relaxed; spin magnetization = 0.00 μB/cell; final energy = -4.80 eV per atom
1.0
-1.851 1.851 4.116
1.851 -1.851 4.116
1.851 1.851 -4.116
Al Co Au
2 1 1
Cartesian
0.000 0.000 0.000
0.000 1.851 2.058
0.000 0.000 4.116
1.851 0.000 2.058